1.
## Sr2BeZnH6 (GGA-PBE)

Data for Sr2BeZnH6 after structural relaxation.

```
Sr2BeZnH6
1.0
3.7492 -1.0824 3.6497
-0.1282 -4.6259 2.6708
3.6760 -3.7522 -0.9779
Zn H Sr Be
1 6 2 1
Cartesian
3.6485 -4.7302 2.6713
1.5086 -4.6711 2.6710
3.6329 -5.2844 4.7390
3.6641 -4.1761 0.6037
5.7884 -4.7894 2.6716
3.5915 -6.7971 2.1170
3.7055 -2.6634 3.2257
5.4727 -7.0953 4.0070
1.8242 -2.3651 1.3357
0.0000 0.0000 0.0000
```

2.
## TaBeH (GGA-PBE)

Data for TaBeH after structural relaxation.

Properties
- magnetization (μB per atom) = 0.00

```
TaBeH
1.0
-4.5625 -1.7805 0.5540
3.8291 -0.4598 -3.0692
1.2389 -2.5737 1.9312
H Be Ta
2 2 2
Cartesian
2.0185 -1.4370 -1.6709
-1.5130 -3.3771 1.0869
-3.7350 -2.3425 0.8133
4.2405 -2.4716 -1.3972
1.7625 -2.8616 -0.3273
-1.2570 -1.9525 -0.2566
```

3.
## HfBe (GGA-PBE)

Data for HfBe after structural relaxation.

Properties
- magnetization (μB per atom) = 0.01

```
HfBe
1.0
0.0000 2.7844 2.7844
2.7844 0.0000 2.7844
2.7844 2.7844 0.0000
Be Hf
1 1
Cartesian
0.0000 0.0000 0.0000
1.3922 1.3922 1.3922
```

4.
## HfBe (GGA-PBE)

Data for HfBe after structural relaxation.

Properties
- magnetization (μB per atom) = 0.01

```
HfBe
1.0
3.0008 0.0000 0.0000
-1.5004 2.5988 0.0000
0.0000 0.0000 4.2644
Be Hf
1 1
Cartesian
1.5004 0.8663 3.1983
0.0000 1.7325 1.0661
```

5.
## Hf5Be3 (GGA-PBE)

Data for Hf5Be3 after structural relaxation.

Properties
- magnetization (μB per atom) = 0.00

```
Hf5Be3
1.0
-2.3786 4.0640 6.3755
-7.6269 1.9635 -0.8921
3.7517 -6.9465 -0.7015
Hf Be
10 6
Cartesian
-2.5701 -1.2293 1.2485
0.4526 -3.0502 -0.4081
-1.2438 -1.8478 4.3485
-6.7064 2.1313 5.1900
-3.6836 0.3103 3.5334
0.0000 0.0000 0.0000
1.7790 -3.6688 2.6919
-5.0100 0.9288 0.4333
-8.0328 2.7498 2.0899
-5.0027 3.0137 2.7417
-6.3422 0.7616 2.7731
-2.5014 1.5069 1.3709
-4.0310 2.4689 5.1137
-7.5041 4.5206 4.1126
-2.2228 -3.3879 -0.3318
0.0884 -1.6806 2.0087
```

6.
## Hf2Be17 (GGA-PBE)

Data for Hf2Be17 after structural relaxation.

Properties
- magnetization (μB per atom) = 0.00

```
Hf2Be17
1.0
-0.6264 -3.6521 -6.4850
6.3274 -0.4492 3.9429
-2.6094 -5.8124 3.5253
Be Hf
34 4
Cartesian
2.9820 -3.8054 1.8550
0.6459 -3.7299 2.0381
4.9932 -4.1540 0.6070
3.5480 -1.9219 3.2173
3.5267 -5.8022 0.7536
-0.7515 -5.9568 -3.0472
0.4874 -3.1972 -4.7209
1.7090 -1.7914 2.0714
0.8039 -1.3518 -1.4441
-1.6179 -4.7322 -1.4798
-0.0955 -5.8879 1.5016
-0.6405 -7.7792 0.1417
-0.5930 -6.4894 3.7118
3.1872 -4.0257 -0.5184
1.8590 -3.1308 3.7341
0.1097 -6.1082 -0.8718
-0.4563 -7.9917 -2.2341
2.4458 -6.1837 -1.0549
1.5459 -4.9568 0.4916
3.6847 -3.4242 -2.7286
5.1753 -3.0925 2.4918
3.8432 -3.9568 4.0304
3.7322 -2.1344 0.8415
-1.9016 -5.7596 0.3762
1.5615 -7.0798 0.7628
2.8505 -2.0506 -1.2710
-2.0836 -6.8211 -1.5086
2.6043 -6.7164 5.7042
-0.3132 -1.8260 -3.2425
1.3827 -8.1222 -1.0882
2.2878 -8.5618 2.4274
1.5302 -2.8338 0.2204
3.1637 -0.2246 1.9714
-0.4350 -4.1114 0.2296
-1.9570 -4.3593 2.6440
-0.6523 -1.4531 0.8813
1.0393 -4.0375 -2.1277
2.0524 -5.8761 3.1109
```

7.
## HfBe8 (GGA-PBE)

Data for HfBe8 after structural relaxation.

Properties
- magnetization (μB per atom) = 0.00

```
HfBe8
1.0
7.9153 0.0000 0.0000
-3.9577 6.8549 0.0000
0.0000 0.0000 2.2525
Be Hf
8 1
Cartesian
5.8216 1.2089 0.0000
-1.8639 5.6460 0.0000
2.0938 1.2089 0.0000
1.8639 5.6460 0.0000
3.9577 4.4372 0.0000
0.0000 2.4177 0.0000
0.0000 4.5699 0.0000
3.9577 2.2850 0.0000
0.0000 0.0000 1.1263
```

8.
## HfBe (GGA-PBE)

Data for HfBe after structural relaxation.

Properties
- magnetization (μB per atom) = 0.00

```
HfBe
1.0
-0.6862 1.7299 3.0855
-2.4206 2.6684 0.0697
-3.1583 -0.4756 1.6683
Be Hf
1 1
Cartesian
0.0000 0.0000 0.0000
-3.1325 1.9614 2.4118
```

9.
## HfBe12 (GGA-PBE)

Data for HfBe12 after structural relaxation.

Properties
- magnetization (μB per atom) = 0.00

```
HfBe12
1.0
-3.7172 3.7172 2.1025
3.7172 -3.7172 2.1025
3.7172 3.7172 -2.1025
Be Hf
12 1
Cartesian
3.7172 2.0569 0.0000
1.6603 0.0000 2.1025
0.0000 2.6330 0.0000
0.0000 1.6603 2.1025
2.6330 0.0000 0.0000
0.0000 4.8014 0.0000
1.8586 1.8586 1.0512
-1.8586 1.8586 1.0513
2.0569 3.7172 0.0000
1.8586 1.8586 -1.0513
1.8586 -1.8586 1.0513
4.8014 0.0000 0.0000
0.0000 0.0000 0.0000
```

10.
## Hf5Be (GGA-PBE)

Data for Hf5Be after structural relaxation.

Properties
- magnetization (μB per atom) = 0.00

```
Hf5Be
1.0
5.7324 0.0000 0.0000
-2.8662 4.9644 0.0000
0.0000 0.0000 4.9732
Hf Be
5 1
Cartesian
2.8662 0.0000 2.4866
1.4331 2.4822 2.4866
-1.4331 2.4822 2.4866
2.8662 1.6548 0.0000
0.0000 3.3096 0.0000
0.0000 0.0000 0.0000
```

11.
## HfBeHg (GGA-PBE)

Data for HfBeHg after structural relaxation.

Properties
- magnetization (μB per atom) = 0.00

```
HfBeHg
1.0
3.0718 -1.7215 -2.3594
1.4793 -3.8604 0.9354
-0.8671 -3.2761 -2.5459
Be Hf Hg
1 1 1
Cartesian
0.0000 0.0000 0.0000
0.9210 -2.2145 -0.9925
2.7631 -6.6435 -2.9775
```

12.
## Hf2Be2Hg (GGA-PBE)

Data for Hf2Be2Hg after structural relaxation.

Properties
- magnetization (μB per atom) = 0.00

```
Hf2Be2Hg
1.0
-5.1868 -0.6081 3.5658
0.5793 -6.2928 -0.2304
2.2394 0.0863 3.2723
Hf Be Hg
4 4 2
Cartesian
0.6292 -4.2717 2.0857
-1.8708 -5.5911 3.8314
-0.4973 -1.2235 2.7762
-2.9973 -2.5428 4.5219
-0.4127 -2.4540 0.3472
-1.4529 -5.7563 1.1462
-3.1546 -1.1446 2.1891
-4.1949 -4.4469 2.9882
-2.3038 -3.4504 1.6677
0.0000 0.0000 0.0000
```

Computed total energy (eV for the cell shown) in order:
-30.089; -39.669; -10.652; -12.836; -121.825; -175.969; -32.376; -12.958; -56.983; -47.835; -13.595; -57.480